Record 1
First-principles (PBE) data for PrTm2Al2Zn2 after structural relaxation, as listed in Alexandria via LeMat-Bulk.

a b c (Å): 9.5230 9.5230 9.5230
angles (deg): 27.53 27.53 27.53
Atoms (fractional coordinates):
Pr: 0.0000 0.0000 0.0000
Tm: 0.1297 0.1297 0.1297
Tm: 0.8703 0.8703 0.8703
Al: 0.2570 0.2570 0.2570
Al: 0.7430 0.7430 0.7430
Zn: 0.4075 0.4075 0.4075
Zn: 0.5925 0.5925 0.5925

Values from the calculation:
E_form = -2.129 eV/f.u.
DFT total energy = -3.698 eV per atom



Record 2
First-principles (PBE) data for PrUAl after structural relaxation, as listed in Alexandria via LeMat-Bulk.

a b c (Å): 13.9259 3.6911 6.1963
angles (deg): 90.00 90.00 90.00
Atoms (fractional coordinates):
Pr: 0.2188 0.2500 0.1717
Pr: 0.2812 0.7500 0.6717
Pr: 0.7188 0.2500 0.3283
Pr: 0.7812 0.7500 0.8283
U: 0.0478 0.7500 0.9170
U: 0.4522 0.2500 0.4170
U: 0.5478 0.7500 0.5830
U: 0.9522 0.2500 0.0830
Al: 0.0599 0.7500 0.4059
Al: 0.4401 0.2500 0.9059
Al: 0.5599 0.7500 0.0941
Al: 0.9401 0.2500 0.5941

Values from the calculation:
E_form = 0.308 eV/f.u.
DFT total energy = -6.501 eV per atom



Record 3
First-principles (PBE) data for PrAl2V after structural relaxation, as listed in Alexandria via LeMat-Bulk.

a b c (Å): 10.0726 10.0726 10.0726
angles (deg): 17.30 17.30 17.30
Atoms (fractional coordinates):
Pr: 0.0000 0.0000 0.0000
Al: 0.2366 0.2366 0.2366
Al: 0.7634 0.7634 0.7634
V: 0.5000 0.5000 0.5000

Values from the calculation:
E_form = 0.708 eV/f.u.
DFT total energy = -5.169 eV per atom



Record 4
First-principles (PBE) data for PrAlV after structural relaxation, as listed in Alexandria via LeMat-Bulk.

a b c (Å): 5.1042 5.1042 5.3419
angles (deg): 100.87 100.87 92.81
Atoms (fractional coordinates):
Pr: 0.0000 0.5000 0.0000
Pr: 0.5000 0.0000 0.0000
Al: 0.1597 0.1597 0.4387
Al: 0.8403 0.8403 0.5613
V: 0.3290 0.6710 0.5000
V: 0.6710 0.3290 0.5000

Values from the calculation:
E_form = 0.470 eV/f.u.
DFT total energy = -5.723 eV per atom



What is the formula in the fourth record? PrAlV